(1)
DFT (GGA-PBE) results for a geometry-optimized TePbSe2 structure.

Calculated values
**Formation energy without anion corrections**: -0.053 eV per atom
**DOS(E_F)**: 14.338 states/eV per cell
**Energy above the most stable polymorph in this dataset**: 0.1737 eV/atom
**Crystal system**: trigonal
**V**: 133 Å³/f.u.

CIF file:
```
data_TePbSe2
_symmetry_space_group_name_H-M 'R -3 m'
_symmetry_Int_Tables_number 166
_symmetry_space_group_name_Hall '-R 3 2"'
_cell_length_a 4.1400
_cell_length_b 4.1400
_cell_length_c 26.8521
_cell_angle_alpha 90.00
_cell_angle_beta 90.00
_cell_angle_gamma 120.00
loop_
_atom_site_label
_atom_site_type_symbol
_atom_site_fract_x
_atom_site_fract_y
_atom_site_fract_z
Te1 Te 0.0000 0.0000 0.0000
Pb1 Pb 0.0000 0.0000 0.5000
Se1 Se 0.0000 0.0000 0.0994
```

---

(2)
DFT (GGA-PBE) results for a geometry-optimized TePbSe structure.

Calculated values
**Formation energy without anion corrections**: 0.024 eV per atom
**DOS(E_F)**: 2.405 states/eV per cell
**Energy above the most stable polymorph in this dataset**: 0.1564 eV/atom
**Crystal system**: tetragonal
**V**: 94 Å³/f.u.

CIF file:
```
data_TePbSe
_symmetry_space_group_name_H-M 'I 4 m m'
_symmetry_Int_Tables_number 107
_symmetry_space_group_name_Hall 'I 4 -2'
_cell_length_a 3.4576
_cell_length_b 3.4576
_cell_length_c 15.7951
_cell_angle_alpha 90.00
_cell_angle_beta 90.00
_cell_angle_gamma 90.00
loop_
_atom_site_label
_atom_site_type_symbol
_atom_site_fract_x
_atom_site_fract_y
_atom_site_fract_z
Te1 Te 0.0000 0.0000 0.0000
Pb1 Pb 0.0000 0.0000 0.3230
Se1 Se 0.0000 0.0000 0.7160
```

---

(3)
DFT (GGA-PBE) results for a geometry-optimized TePbSe2 structure.

Calculated values
**Formation energy without anion corrections**: -0.150 eV per atom
**DOS(E_F)**: 1.169 states/eV per cell
**Energy above the most stable polymorph in this dataset**: 0.0772 eV/atom
**Crystal system**: monoclinic
**V**: 115 Å³/f.u.

CIF file:
```
data_TePbSe2
_symmetry_space_group_name_H-M 'P 1 2/m 1'
_symmetry_Int_Tables_number 10
_cell_length_a 4.2482
_cell_length_b 3.8929
_cell_length_c 7.1648
_cell_angle_alpha 90.00
_cell_angle_beta 104.84
_cell_angle_gamma 90.00
loop_
_symmetry_equiv_pos_as_xyz
'x,y,z'
'-x,-y,-z'
'-x,y,-z'
'x,-y,z'
loop_
_atom_site_label
_atom_site_type_symbol
_atom_site_fract_x
_atom_site_fract_y
_atom_site_fract_z
Te1 Te 0.0000 0.0000 0.0000
Pb1 Pb 0.0000 0.0000 0.5000
Se1 Se 0.3448 0.5000 0.2608
```

---

(4)
DFT (GGA-PBE) results for a geometry-optimized TePbSe2 structure.

Calculated values
**Formation energy without anion corrections**: 0.078 eV per atom
**DOS(E_F)**: 13.390 states/eV per cell
**Energy above the most stable polymorph in this dataset**: 0.3056 eV/atom
**Crystal system**: cubic
**V**: 102 Å³/f.u.

CIF file:
```
data_TePbSe2
_symmetry_space_group_name_H-M 'F m -3 m'
_symmetry_Int_Tables_number 225
_symmetry_space_group_name_Hall '-F 4 2 3'
_cell_length_a 7.4136
_cell_length_b 7.4136
_cell_length_c 7.4136
_cell_angle_alpha 90.00
_cell_angle_beta 90.00
_cell_angle_gamma 90.00
loop_
_atom_site_label
_atom_site_type_symbol
_atom_site_fract_x
_atom_site_fract_y
_atom_site_fract_z
Te1 Te 0.0000 0.0000 0.0000
Pb1 Pb 0.0000 0.0000 0.5000
Se1 Se 0.2500 0.2500 0.2500
```

---

(5)
DFT (GGA-PBE) results for a geometry-optimized TePbSe2 structure.

Calculated values
**Formation energy without anion corrections**: 0.051 eV per atom
**DOS(E_F)**: 2.444 states/eV per cell
**Energy above the most stable polymorph in this dataset**: 0.2781 eV/atom
**Crystal system**: orthorhombic
**V**: 129 Å³/f.u.

CIF file:
```
data_TePbSe2
_symmetry_space_group_name_H-M 'C m m 2'
_symmetry_Int_Tables_number 35
_cell_length_a 4.2006
_cell_length_b 7.3106
_cell_length_c 8.3791
_cell_angle_alpha 90.00
_cell_angle_beta 90.00
_cell_angle_gamma 90.00
loop_
_symmetry_equiv_pos_as_xyz
'x,y,z'
'-x,-y,z'
'-x,y,z'
'x,-y,z'
'x+1/2,y+1/2,z'
'-x+1/2,-y+1/2,z'
'-x+1/2,y+1/2,z'
'x+1/2,-y+1/2,z'
loop_
_atom_site_label
_atom_site_type_symbol
_atom_site_fract_x
_atom_site_fract_y
_atom_site_fract_z
Te1 Te 0.0000 0.0000 0.0000
Pb1 Pb 0.0000 0.5000 0.6790
Se1 Se 0.0000 0.0000 0.4691
Se2 Se 0.0000 0.5000 0.1938
```

---

(6)
DFT (GGA-PBE) results for a geometry-optimized Te3PbSe structure.

Calculated values
**Formation energy without anion corrections**: 0.230 eV per atom
**DOS(E_F)**: 2.732 states/eV per cell
**Energy above the most stable polymorph in this dataset**: 0.0000 eV/atom
**Crystal system**: cubic
**V**: 166 Å³/f.u.

CIF file:
```
data_Te3PbSe
_symmetry_space_group_name_H-M 'P m -3 m'
_symmetry_Int_Tables_number 221
_symmetry_space_group_name_Hall '-P 4 2 3'
_cell_length_a 5.4975
_cell_length_b 5.4975
_cell_length_c 5.4975
_cell_angle_alpha 90.00
_cell_angle_beta 90.00
_cell_angle_gamma 90.00
loop_
_atom_site_label
_atom_site_type_symbol
_atom_site_fract_x
_atom_site_fract_y
_atom_site_fract_z
Te1 Te 0.0000 0.0000 0.5000
Pb1 Pb 0.5000 0.5000 0.5000
Se1 Se 0.0000 0.0000 0.0000
```

---

(7)
DFT (GGA-PBE) results for a geometry-optimized TePbSe3 structure.

Calculated values
**Formation energy without anion corrections**: 0.151 eV per atom
**DOS(E_F)**: 0.805 states/eV per cell
**Energy above the most stable polymorph in this dataset**: 0.3735 eV/atom
**Crystal system**: cubic
**V**: 153 Å³/f.u.

CIF file:
```
data_TePbSe3
_symmetry_space_group_name_H-M 'P m -3 m'
_symmetry_Int_Tables_number 221
_symmetry_space_group_name_Hall '-P 4 2 3'
_cell_length_a 5.3471
_cell_length_b 5.3471
_cell_length_c 5.3471
_cell_angle_alpha 90.00
_cell_angle_beta 90.00
_cell_angle_gamma 90.00
loop_
_atom_site_label
_atom_site_type_symbol
_atom_site_fract_x
_atom_site_fract_y
_atom_site_fract_z
Te1 Te 0.0000 0.0000 0.0000
Pb1 Pb 0.5000 0.5000 0.5000
Se1 Se 0.0000 0.0000 0.5000
```

---

(8)
DFT (GGA-PBE) results for a geometry-optimized Te3Pb4Se structure.

Calculated values
**Formation energy without anion corrections**: -0.431 eV per atom
**Energy above the most stable polymorph in this dataset**: 0.0058 eV/atom
**Crystal system**: tetragonal
**V**: 272 Å³/f.u.

CIF file:
```
data_Te3Pb4Se
_symmetry_space_group_name_H-M 'P 4/m m m'
_symmetry_Int_Tables_number 123
_symmetry_space_group_name_Hall '-P 4 2'
_cell_length_a 4.5833
_cell_length_b 4.5833
_cell_length_c 12.9357
_cell_angle_alpha 90.00
_cell_angle_beta 90.00
_cell_angle_gamma 90.00
loop_
_atom_site_label
_atom_site_type_symbol
_atom_site_fract_x
_atom_site_fract_y
_atom_site_fract_z
Te1 Te 0.0000 0.0000 0.0000
Te2 Te 0.5000 0.5000 0.2508
Pb1 Pb 0.0000 0.0000 0.2584
Pb2 Pb 0.5000 0.5000 0.0000
Pb3 Pb 0.5000 0.5000 0.5000
Se1 Se 0.0000 0.0000 0.5000
```